Record 1
Material: PRhSeI2
Method: DFT, meta-GGA SCAN
State: single point on PBEsol structure

Properties
final energy = -132.27 eV per formula unit
mass density = 5.22 g/cm³
space-group type = P4/mmm, No. 123
raw formation energy = 105.5 kJ/mol of atoms

Structure (POSCAR):
```
PRhSeI2
1.0
-1.8312 0.7420 -4.0437
-3.1756 -4.7543 0.5657
-4.1784 3.0834 2.4580
I P Rh Se
2 1 1 1
Direct
0.0000 0.0000 0.5000
0.0000 0.5000 0.0000
0.5000 0.5000 0.5000
0.5000 0.0000 0.0000
0.0000 0.0000 0.0000
```

---

Record 2
Material: TePRhI2
Method: DFT, meta-GGA SCAN
State: single point on PBEsol structure

Properties
final energy = -151.12 eV per formula unit
mass density = 6.21 g/cm³
space-group type = P4/mmm, No. 123
raw formation energy = 73.0 kJ/mol of atoms

Structure (POSCAR):
```
TePRhI2
1.0
5.0429 0.0000 0.0000
0.0000 5.2287 0.0000
0.0000 0.0000 5.2287
I P Te Rh
2 1 1 1
Direct
0.0000 0.0000 0.5000
0.0000 0.5000 0.0000
0.5000 0.5000 0.5000
0.5000 0.0000 0.0000
0.0000 0.0000 0.0000
```

---

Record 3
Material: P2RuI
Method: DFT, meta-GGA SCAN
State: single point on PBEsol structure

Properties
final energy = -91.47 eV per formula unit
mass density = 5.06 g/cm³
space-group type = I-42d, No. 122
raw formation energy = 21.5 kJ/mol of atoms

Structure (POSCAR):
```
P2RuI
1.0
6.3236 0.0000 0.0000
-3.1618 5.7104 0.1367
0.0000 3.3733 5.3487
I Ru P
2 2 4
Direct
0.7500 0.5000 0.7500
0.0000 0.0000 0.0000
0.2500 0.5000 0.2500
0.5000 0.0000 0.5000
0.5215 0.7500 0.3750
0.2285 0.7500 0.8750
0.8750 0.2500 0.5215
0.3750 0.2500 0.2285
```

---

Record 4
Material: P4S3I2
Method: DFT, meta-GGA SCAN
State: single point on PBEsol structure

Properties
final energy = -145.29 eV per formula unit
mass density = 3.07 g/cm³
E above lowest polymorph = 0 meV/atom
space-group type = P-1, No. 2
raw formation energy = -14.2 kJ/mol of atoms

Structure (POSCAR):
```
P4S3I2
1.0
-7.0904 -0.7062 -1.1160
1.0521 -6.6929 -2.5572
-2.0293 -8.9586 17.4258
P S I
16 12 8
Direct
0.6021 0.7269 0.4590
0.3979 0.2731 0.5410
0.0324 0.4506 0.3982
0.9676 0.5494 0.6018
0.5622 0.5173 0.3857
0.4378 0.4827 0.6143
0.9501 0.7142 0.3405
0.0499 0.2858 0.6595
0.2843 0.6099 0.9588
0.7157 0.3901 0.0412
0.5711 0.0558 0.9002
0.4289 0.9442 0.0998
0.5131 0.5923 0.8842
0.4869 0.4077 0.1158
0.3217 0.9899 0.8423
0.6783 0.0101 0.1577
0.8685 0.8328 0.4316
0.1315 0.1672 0.5684
0.7734 0.3427 0.4331
0.2266 0.6573 0.5669
0.6968 0.6433 0.2985
0.3032 0.3567 0.7015
0.1810 0.8810 0.9333
0.8190 0.1190 0.0667
0.6733 0.7898 0.9331
0.3267 0.2102 0.0669
0.4075 0.7505 0.7986
0.5925 0.2495 0.2014
0.3884 0.9611 0.4006
0.6116 0.0389 0.5994
0.1000 0.2748 0.2976
0.9000 0.7252 0.7024
0.0657 0.4106 0.9003
0.9343 0.5894 0.0997
0.7711 0.1474 0.7975
0.2289 0.8526 0.2025
```

---

Record 5
Material: P2S2I
Method: DFT, meta-GGA SCAN
State: single point on PBEsol structure

Properties
final energy = -71.42 eV per formula unit
mass density = 4.31 g/cm³
space-group type = P4/mmm, No. 123
raw formation energy = 103.7 kJ/mol of atoms

Structure (POSCAR):
```
P2S2I
1.0
-2.3648 0.0548 3.7561
-3.5381 -2.1432 -2.1963
1.7864 -4.1640 1.1855
I P S
1 2 2
Direct
0.5000 0.5000 0.5000
0.0000 0.0000 0.5000
0.0000 0.5000 0.0000
0.0000 0.0000 0.0000
0.5000 0.0000 0.0000
```

---

Record 6
Material: P4S3I2
Method: DFT, meta-GGA SCAN
State: single point on PBEsol structure

Properties
final energy = -145.17 eV per formula unit
mass density = 3.27 g/cm³
E above lowest polymorph = 13 meV/atom
space-group type = Pnma, No. 62
raw formation energy = -13.0 kJ/mol of atoms

Structure (POSCAR):
```
P4S3I2
1.0
-2.9402 -5.8792 -0.0308
8.0920 -4.0465 -0.0717
0.0807 -0.1252 16.1709
P S I
16 12 8
Direct
0.4694 0.4919 0.3540
0.0306 0.9919 0.3540
0.8114 0.1242 0.7500
0.3114 0.3758 0.2500
0.9694 0.0081 0.6460
0.2602 0.2602 0.7500
0.5306 0.5081 0.6460
0.5306 0.5081 0.8540
0.7602 0.2398 0.2500
0.2398 0.7602 0.7500
0.9694 0.0081 0.8540
0.4694 0.4919 0.1460
0.7398 0.7398 0.2500
0.6886 0.6242 0.7500
0.1886 0.8758 0.2500
0.0306 0.9919 0.1460
0.7411 0.8856 0.1467
0.7589 0.3856 0.1467
0.2589 0.1144 0.8533
0.5444 0.8309 0.7500
0.2411 0.6144 0.8533
0.7411 0.8856 0.3533
0.0444 0.6691 0.2500
0.2411 0.6144 0.6467
0.7589 0.3856 0.3533
0.9556 0.3309 0.7500
0.4556 0.1691 0.2500
0.2589 0.1144 0.6467
0.7183 0.6498 0.9621
0.2818 0.3502 0.0379
0.2818 0.3502 0.4621
0.7817 0.1498 0.9621
0.7817 0.1498 0.5379
0.2182 0.8502 0.0379
0.2182 0.8502 0.4621
0.7183 0.6498 0.5379
```

---

Record 7
Material: TaP2SI
Method: DFT, meta-GGA SCAN
State: single point on PBEsol structure

Properties
final energy = -123.87 eV per formula unit
mass density = 5.82 g/cm³
space-group type = P4/mmm, No. 123
raw formation energy = 190.6 kJ/mol of atoms

Structure (POSCAR):
```
TaP2SI
1.0
-1.1011 -3.6111 3.0158
3.7748 1.2145 2.8325
-2.8748 3.0015 2.5443
I P S Ta
1 2 1 1
Direct
0.0000 0.0000 0.0000
0.0000 0.0000 0.5000
0.0000 0.5000 0.0000
0.5000 0.0000 0.0000
0.5000 0.5000 0.5000
```

---

Record 8
Material: ZrPS2I
Method: DFT, meta-GGA SCAN
State: single point on PBEsol structure

Properties
final energy = -97.99 eV per formula unit
mass density = 4.16 g/cm³
E above lowest polymorph = 0 meV/atom
space-group type = P4/mmm, No. 123
raw formation energy = -17.3 kJ/mol of atoms

Structure (POSCAR):
```
ZrPS2I
1.0
-0.4058 4.7236 -0.8111
-3.4954 0.2652 3.2935
3.6848 0.9746 3.8322
I P S Zr
1 1 2 1
Direct
0.5000 0.5000 0.5000
0.0000 0.0000 0.5000
0.0000 0.5000 0.0000
0.5000 0.0000 0.0000
0.0000 0.0000 0.0000
```

---

Record 9
Material: ZrPS2I
Method: DFT, meta-GGA SCAN
State: single point on PBEsol structure

Properties
final energy = -92.42 eV per formula unit
mass density = 4.36 g/cm³
E above lowest polymorph = 1113 meV/atom
space-group type = P4/mmm, No. 123
raw formation energy = 90.1 kJ/mol of atoms

Structure (POSCAR):
```
ZrPS2I
1.0
-0.4377 1.4927 -4.6350
-4.8689 -0.0639 0.4392
0.0750 4.7501 1.5226
I P S Zr
1 1 2 1
Direct
0.0000 0.0000 0.0000
0.0000 0.0000 0.5000
0.0000 0.5000 0.0000
0.5000 0.0000 0.0000
0.5000 0.5000 0.5000
```

---

Record 10
Material: SbPI3
Method: DFT, meta-GGA SCAN
State: single point on PBEsol structure

Properties
final energy = -155.17 eV per formula unit
mass density = 5.71 g/cm³
space-group type = Pm-3m, No. 221
raw formation energy = 52.4 kJ/mol of atoms

Structure (POSCAR):
```
SbPI3
1.0
5.3727 0.0000 0.0000
0.0000 5.3727 0.0000
0.0000 0.0000 5.3727
I Sb P
3 1 1
Direct
0.0000 0.5000 0.0000
0.0000 0.0000 0.5000
0.5000 0.0000 0.0000
0.5000 0.5000 0.5000
0.0000 0.0000 0.0000
```

---

Record 11
Material: SbP2I
Method: DFT, meta-GGA SCAN
State: single point on PBEsol structure

Properties
final energy = -92.16 eV per formula unit
mass density = 4.82 g/cm³
space-group type = I-42d, No. 122
raw formation energy = 63.7 kJ/mol of atoms

Structure (POSCAR):
```
SbP2I
1.0
6.5599 0.0982 0.1499
-2.7296 5.9658 -0.1499
-2.7296 -2.5176 5.4107
I Sb P
2 2 4
Direct
0.5000 0.7500 0.2500
0.0000 0.0000 0.0000
0.5000 0.2500 0.7500
0.0000 0.5000 0.5000
0.9651 0.5901 0.1250
0.0349 0.1599 0.6250
0.4651 0.8750 0.8401
0.5349 0.3750 0.4099
```

---

Record 12
Material: ScSbPI2
Method: DFT, meta-GGA SCAN
State: single point on PBEsol structure

Properties
final energy = -133.47 eV per formula unit
mass density = 5.17 g/cm³
space-group type = P4/mmm, No. 123
raw formation energy = 36.9 kJ/mol of atoms

Structure (POSCAR):
```
ScSbPI2
1.0
-2.4261 -4.5415 -0.9546
-0.8376 -0.6310 5.1306
-4.6061 2.5527 -0.4381
I Sb Sc P
2 1 1 1
Direct
0.0000 0.5000 0.0000
0.5000 0.0000 0.0000
0.0000 0.0000 0.5000
0.5000 0.5000 0.5000
0.0000 0.0000 0.0000
```

---

Record 13
Material: SiSbPI2
Method: DFT, meta-GGA SCAN
State: single point on PBEsol structure

Properties
final energy = -126.39 eV per formula unit
mass density = 4.93 g/cm³
space-group type = P4/mmm, No. 123
raw formation energy = 92.0 kJ/mol of atoms

Structure (POSCAR):
```
SiSbPI2
1.0
-0.9439 -2.1240 4.7188
0.2522 -4.8099 -2.1145
5.1934 -0.1539 0.9696
I Sb Si P
2 1 1 1
Direct
0.0000 0.5000 0.0000
0.5000 0.0000 0.0000
0.0000 0.0000 0.5000
0.5000 0.5000 0.5000
0.0000 0.0000 0.0000
```

---

Record 14
Material: SnSbPI2
Method: DFT, meta-GGA SCAN
State: single point on PBEsol structure

Properties
final energy = -153.04 eV per formula unit
mass density = 4.43 g/cm³
space-group type = P4/mmm, No. 123
raw formation energy = 77.7 kJ/mol of atoms

Structure (POSCAR):
```
SnSbPI2
1.0
-0.1879 -2.3832 5.2708
-4.2609 -3.5097 -1.7388
3.9710 -3.9959 -1.6652
I Sb Sn P
2 1 1 1
Direct
0.0000 0.5000 0.0000
0.5000 0.0000 0.0000
0.0000 0.0000 0.5000
0.0000 0.0000 0.0000
0.5000 0.5000 0.5000
```

---

Record 15
Material: ScPI2
Method: DFT, meta-GGA SCAN
State: single point on PBEsol structure

Properties
final energy = -97.70 eV per formula unit
mass density = 5.90 g/cm³
space-group type = Fm-3m, No. 225
raw formation energy = 10.1 kJ/mol of atoms

Structure (POSCAR):
```
ScPI2
1.0
5.0825 0.0000 0.0000
2.5413 4.4016 0.0000
2.5413 1.4672 4.1499
I Sc P
2 1 1
Direct
0.2500 0.2500 0.2500
0.7500 0.7500 0.7500
0.5000 0.5000 0.5000
0.0000 0.0000 0.0000
```

---

Record 16
Material: ScTe2PI
Method: DFT, meta-GGA SCAN
State: single point on PBEsol structure

Properties
final energy = -135.07 eV per formula unit
mass density = 5.40 g/cm³
space-group type = P4/mmm, No. 123
raw formation energy = 15.6 kJ/mol of atoms

Structure (POSCAR):
```
ScTe2PI
1.0
5.2700 0.0000 0.0000
0.0000 5.1721 0.0000
0.0000 0.0000 5.1721
I Sc Te P
1 1 2 1
Direct
0.5000 0.0000 0.0000
0.5000 0.5000 0.5000
0.0000 0.0000 0.5000
0.0000 0.5000 0.0000
0.0000 0.0000 0.0000
```

---

Record 17
Material: P2SeI
Method: DFT, meta-GGA SCAN
State: single point on PBEsol structure

Properties
final energy = -73.18 eV per formula unit
mass density = 5.73 g/cm³
space-group type = Fm-3m, No. 225
raw formation energy = 106.9 kJ/mol of atoms

Structure (POSCAR):
```
P2SeI
1.0
4.7866 0.0000 0.0000
2.3933 4.1453 0.0000
2.3933 1.3818 3.9083
I P Se
1 2 1
Direct
0.5000 0.5000 0.5000
0.2500 0.2500 0.2500
0.7500 0.7500 0.7500
0.0000 0.0000 0.0000
```

---

Record 18
Material: P4Se3I2
Method: DFT, meta-GGA SCAN
State: single point on PBEsol structure

Properties
final energy = -175.84 eV per formula unit
mass density = 3.98 g/cm³
E above lowest polymorph = 14 meV/atom
space-group type = Pnma, No. 62
raw formation energy = -5.7 kJ/mol of atoms

Structure (POSCAR):
```
P4Se3I2
1.0
6.7605 0.0000 0.0000
0.0000 9.4269 0.0000
0.0000 0.0000 16.0739
I P Se
8 16 12
Direct
0.7190 0.3523 0.4646
0.2190 0.1477 0.5354
0.2810 0.6477 0.9646
0.7810 0.8523 0.0354
0.2810 0.6477 0.5354
0.7810 0.8523 0.4646
0.7190 0.3523 0.0354
0.2190 0.1477 0.9646
0.5428 0.4893 0.3542
0.0428 0.0107 0.6458
0.4572 0.5107 0.8542
0.9572 0.9893 0.1458
0.4572 0.5107 0.6458
0.9572 0.9893 0.3542
0.5428 0.4893 0.1458
0.0428 0.0107 0.8542
0.2288 0.2369 0.2500
0.7288 0.2631 0.7500
0.7712 0.7631 0.7500
0.2712 0.7369 0.2500
0.6873 0.3737 0.2500
0.1873 0.1263 0.7500
0.3127 0.6263 0.7500
0.8127 0.8737 0.2500
0.2341 0.3877 0.3610
0.7341 0.1123 0.6390
0.7659 0.6123 0.8610
0.2659 0.8877 0.1390
0.7659 0.6123 0.6390
0.2659 0.8877 0.3610
0.2341 0.3877 0.1390
0.7341 0.1123 0.8610
0.5446 0.1580 0.2500
0.0446 0.3420 0.7500
0.4554 0.8420 0.7500
0.9554 0.6580 0.2500
```

---

Record 19
Material: P3Se4I
Method: DFT, meta-GGA SCAN
State: single point on PBEsol structure

Properties
final energy = -148.72 eV per formula unit
mass density = 3.93 g/cm³
space-group type = P2_1/c, No. 14
raw formation energy = -5.7 kJ/mol of atoms

Structure (POSCAR):
```
P3Se4I
1.0
6.5566 0.0000 0.0000
0.0000 11.0764 -0.0619
0.0000 -4.7399 12.4891
I P Se
4 12 16
Direct
0.2657 0.3255 0.1865
0.7657 0.1745 0.3135
0.7343 0.6745 0.8135
0.2343 0.8255 0.6865
0.8815 0.0429 0.8692
0.3815 0.4571 0.6308
0.1185 0.9571 0.1308
0.6185 0.5429 0.3692
0.1425 0.3414 0.0124
0.6425 0.1586 0.4876
0.8575 0.6586 0.9876
0.3575 0.8414 0.5124
0.8166 0.3495 0.0519
0.3166 0.1505 0.4481
0.1834 0.6505 0.9481
0.6834 0.8495 0.5519
0.7409 0.1453 0.0346
0.2409 0.3547 0.4654
0.2591 0.8547 0.9654
0.7591 0.6453 0.5346
0.1940 0.1410 0.8878
0.6940 0.3590 0.6122
0.8060 0.8590 0.1122
0.3060 0.6410 0.3878
0.7401 0.3634 0.8886
0.2401 0.1366 0.6114
0.2599 0.6366 0.1114
0.7599 0.8634 0.3886
0.7097 0.1395 0.7740
0.2097 0.3605 0.7260
0.2903 0.8605 0.2260
0.7903 0.6395 0.2740
```

---

Record 20
Material: P4Se3I2
Method: DFT, meta-GGA SCAN
State: single point on PBEsol structure

Properties
final energy = -175.97 eV per formula unit
mass density = 3.88 g/cm³
E above lowest polymorph = 0 meV/atom
space-group type = I-42d, No. 122
raw formation energy = -7.1 kJ/mol of atoms

Structure (POSCAR):
```
P4Se3I2
1.0
-10.0481 4.5007 -2.4316
5.7388 -4.6812 -8.5020
-8.2453 -7.1022 -2.9505
I P Se
8 16 12
Direct
0.9438 0.7989 0.8327
0.0562 0.2235 0.1449
0.3684 0.1449 0.7989
0.6316 0.8327 0.2235
0.1316 0.0265 0.4173
0.8684 0.4511 0.1051
0.4438 0.4173 0.4511
0.5562 0.1051 0.0265
0.3723 0.5355 0.1218
0.6278 0.5059 0.8368
0.3427 0.8368 0.5355
0.6573 0.1218 0.5059
0.1573 0.7441 0.1282
0.8427 0.7145 0.4132
0.8722 0.1282 0.7145
0.1278 0.4132 0.7441
0.7425 0.7395 0.7720
0.2575 0.4855 0.0030
0.4885 0.0030 0.7395
0.5115 0.7720 0.4855
0.0115 0.7645 0.4780
0.9885 0.5105 0.2470
0.2425 0.4780 0.5105
0.7575 0.2470 0.7645
0.5000 0.4230 0.0770
0.5000 0.0770 0.4230
0.0000 0.8270 0.1730
0.0000 0.1730 0.8270
0.5585 0.7636 0.9519
0.4415 0.4896 0.7948
0.2844 0.7948 0.7636
0.7156 0.9519 0.4896
0.2156 0.7604 0.2981
0.7844 0.4864 0.4552
0.0585 0.2981 0.4864
0.9415 0.4552 0.7604
```